First-principles (PBE) data for BiAsPd4 after structural relaxation, as listed in Alexandria via LeMat-Bulk.

The calculation puts the energy relative to the lowest polymorph listed for this composition at 0.27 kcal/mol of atoms. For the formation energy, the calculation gives -6.4 kcal/mol of atoms. Its total energy is -61.9 eV per cell.

It has space group P2_1/m (No. 11), with a = 4.720 Å, b = 5.828 Å, c = 7.837 Å, α = 90.00°, β = 97.58° and γ = 90.00°. The asymmetric unit holds Bi at (0.241, 0.250, 0.432), As at (0.348, 0.750, 0.048), Pd at (0.158, 0.250, 0.066), Pd at (0.209, 0.750, 0.346) and Pd at (0.310, 0.509, 0.766).